The following is a SCAN calculation of a crystal of Na3TcSb relaxed with PBEsol, from Alexandria via LeMat-Bulk.

The structure in POSCAR format:
```
Na3TcSb
1.0
-4.874 0.547 -2.440
0.599 -4.934 -2.303
-2.428 -2.315 4.330
Sb Na Tc
1 3 1
direct
0.500 0.500 0.500
0.500 0.000 0.000
0.000 0.000 0.500
0.000 0.500 0.000
0.000 0.000 0.000
```

Results
raw formation energy = 561 kJ/mol of formula units
space-group type = Pm-3m, No. 221

***

The following is a SCAN calculation of a crystal of InAg2I2 relaxed with PBEsol, from Alexandria via LeMat-Bulk.

The structure in POSCAR format:
```
InAg2I2
1.0
-0.646 -3.584 -1.666
2.887 0.725 -2.679
4.756 -2.127 7.542
Ag In I
2 1 2
direct
0.250 0.750 0.500
0.750 0.250 0.500
0.000 0.000 0.000
0.383 0.383 0.767
0.617 0.617 0.233
```

Results
raw formation energy = 22 kJ/mol of formula units
space-group type = I4/mmm, No. 139

***

The following is a SCAN calculation of a crystal of LiCaTa relaxed with PBEsol, from Alexandria via LeMat-Bulk.

The structure in POSCAR format:
```
LiCaTa
1.0
2.731 0.000 0.000
0.000 5.189 0.000
0.000 -2.594 4.494
Ta Ca Li
1 1 1
direct
0.334 0.667 0.333
0.833 0.000 0.000
0.833 0.333 0.667
```

Results
excess energy over the best structure of this formula in the dataset = 0.00 eV/f.u.
space-group type = P-6m2, No. 187

***

The following is a SCAN calculation of a crystal of YPH3 relaxed with PBEsol, from Alexandria via LeMat-Bulk.

The structure in POSCAR format:
```
YPH3
1.0
3.905 0.000 0.000
0.000 3.905 0.000
0.000 0.000 3.905
H P Y
3 1 1
direct
0.000 0.000 0.500
0.000 0.500 0.000
0.500 0.000 0.000
0.500 0.500 0.500
0.000 0.000 0.000
```

Results
DFT total energy = -9.441 eV/atom
space-group type = Pm-3m, No. 221

***

The following is a SCAN calculation of a crystal of HgOs2Pt relaxed with PBEsol, from Alexandria via LeMat-Bulk.

The structure in POSCAR format:
```
HgOs2Pt
1.0
-0.838 -1.535 -2.177
-1.489 -2.325 0.421
-8.505 3.582 -1.045
Os Hg Pt
2 1 1
direct
0.245 0.245 0.264
0.755 0.755 0.736
0.000 0.000 0.000
0.500 0.500 0.500
```

Results
DFT total energy = -69.885 eV/atom
space-group type = R-3m, No. 166

***

The following is a SCAN calculation of a crystal of AlTlSbF2 relaxed with PBEsol, from Alexandria via LeMat-Bulk.

The structure in POSCAR format:
```
AlTlSbF2
1.0
-1.537 2.537 3.149
-3.501 0.851 -2.395
-2.711 -4.553 2.345
Sb Tl F Al
1 1 2 1
direct
0.000 0.000 0.000
0.500 0.500 0.500
0.000 0.500 0.000
0.500 0.000 0.000
0.000 0.000 0.500
```

Results
raw formation energy = -474 kJ/mol of formula units
space-group type = P4/mmm, No. 123